No. 1
The following is a DFT calculation (SCAN) of Fe2CoOs at its PBEsol-relaxed geometry.

It has space group F-43m (No. 216), with a = 5.7045 Å, b = 5.7045 Å, c = 5.7045 Å, α = 90.00°, β = 90.00° and γ = 90.00°. Symmetry generates all atoms from Fe at (0.0000, 0.0000, 0.0000), Fe at (0.2500, 0.2500, 0.2500), Co at (0.0000, 0.0000, 0.5000) and Os at (0.2500, 0.2500, 0.7500).

The total magnetization comes out at 2.02 μB/atom. The calculation puts the formation energy at 107 meV/atom. As for the final energy: -31.2541 eV per atom.


No. 2
The following is a DFT calculation (SCAN) of CaZn2Ni at its PBEsol-relaxed geometry.

It has space group Imm2 (No. 44), with a = 4.3194 Å, b = 4.8756 Å, c = 6.4399 Å, α = 90.00°, β = 90.00° and γ = 90.00°. Symmetry generates all atoms from Ca at (0.0000, 0.0000, 0.0000), Zn at (0.0000, 0.0000, 0.4852), Zn at (0.0000, 0.5000, 0.2071) and Ni at (0.0000, 0.5000, 0.8021).

The total magnetization comes out at 0.00 μB/atom. The calculation puts the formation energy at -14 meV/atom. As for the final energy: -13.2309 eV per atom.


No. 3
The following is a DFT calculation (SCAN) of W2BrCl at its PBEsol-relaxed geometry.

It has space group I-4m2 (No. 119), with a = 4.1829 Å, b = 4.1829 Å, c = 7.6068 Å, α = 90.00°, β = 90.00° and γ = 90.00°. Symmetry generates all atoms from W at (0.0000, 0.0000, 0.0000), W at (0.0000, 0.5000, 0.2500), Br at (0.0000, 0.0000, 0.5000) and Cl at (0.0000, 0.5000, 0.7500).

The total magnetization comes out at 0.00 μB/atom. The uncorrected formation energy comes out at 1495 meV/atom. As for the final energy: -40.2081 eV per atom.


No. 4
The following is a DFT calculation (SCAN) of Cs2CdPt at its PBEsol-relaxed geometry.

It has space group I-42d (No. 122), with a = 12.1229 Å, b = 12.1229 Å, c = 5.2156 Å, α = 90.00°, β = 90.00° and γ = 90.00°. Symmetry generates all atoms from Cs at (0.0931, 0.2500, 0.1250), Cd at (0.0000, 0.0000, 0.5000) and Pt at (0.0000, 0.0000, 0.0000).

The total magnetization comes out at 0.00 μB/atom. The calculation puts the formation energy at -109 meV/atom. As for the final energy: -44.1665 eV per atom.


No. 5
The following is a DFT calculation (SCAN) of BiSb2TeP at its PBEsol-relaxed geometry.

It has space group P4/mmm (No. 123), with a = 5.2132 Å, b = 5.2132 Å, c = 5.0877 Å, α = 90.00°, β = 90.00° and γ = 90.00°. Symmetry generates all atoms from Bi at (0.0000, 0.0000, 0.0000), Sb at (0.0000, 0.5000, 0.5000), Te at (0.5000, 0.5000, 0.0000) and P at (0.5000, 0.5000, 0.5000).

The total magnetization comes out at 0.00 μB/atom. The uncorrected formation energy comes out at 535 meV/atom. As for the final energy: -39.6153 eV per atom.


No. 6
The following is a DFT calculation (SCAN) of LiNi3Ru at its PBEsol-relaxed geometry.

It has space group Pm-3m (No. 221), with a = 4.4258 Å, b = 4.4258 Å, c = 4.4258 Å, α = 90.00°, β = 90.00° and γ = 90.00°. Symmetry generates all atoms from Li at (0.0000, 0.0000, 0.0000), Ni at (0.0000, 0.5000, 0.5000) and Ru at (0.5000, 0.5000, 0.5000).

The total magnetization comes out at 0.00 μB/atom. The calculation puts the formation energy at 1155 meV/atom. As for the final energy: -15.9919 eV per atom.


- Among the records above, which one has the lowest final energy?
  Cs2CdPt


- Which value of final energy does entry 1 give?
  -31.2541 eV per atom


- Among the records above, which one has the highest total magnetization?
  Fe2CoOs